Record 1
Here is an optimized crystal structure of HfMg2ZnRu from Alexandria via LeMat-Bulk. Energies are from PBE-GGA.

Cell and atoms, written as POSCAR:
```
HfMg2ZnRu
1.0
-2.317 -3.067 2.435
3.326 0.193 3.407
-2.291 3.356 2.047
Mg Hf Zn Ru
2 1 1 1
direct
0.000 0.000 0.500
0.500 0.000 0.000
0.500 0.500 0.500
0.000 0.000 0.000
0.000 0.500 0.000
```

Computed properties:
SG: No. 123
Calculated volume, A^3/atom: 19.7
DOS at the Fermi energy, states/eV/f.u.: 3.24
Energy of formation from the pure elements, meV per atom: 597.1

Record 2
Here is an optimized crystal structure of K2AgMo from Alexandria via LeMat-Bulk. Energies are from PBE-GGA.

Cell and atoms, written as POSCAR:
```
K2AgMo
1.0
-2.218 1.955 5.770
-3.887 -3.972 3.339
5.706 -0.292 -3.064
K Mo Ag
2 1 1
direct
0.498 0.498 0.000
0.002 0.002 0.000
0.750 0.250 0.500
0.250 0.750 0.500
```

Computed properties:
SG: No. 71
Calculated volume, A^3/atom: 30.5
DOS at the Fermi energy, states/eV/f.u.: 1.87
Energy of formation from the pure elements, meV per atom: 1171.4
Polymorph energy (0 for the lowest one), eV/atom: 0.2748

Record 3
Here is an optimized crystal structure of PrAlHgAu from Alexandria via LeMat-Bulk. Energies are from PBE-GGA.

Cell and atoms, written as POSCAR:
```
PrAlHgAu
1.0
5.057 0.000 0.000
2.529 4.380 0.000
2.529 1.460 4.129
Al Hg Pr Au
1 1 1 1
direct
0.250 0.250 0.250
0.500 0.500 0.500
0.750 0.750 0.750
0.000 0.000 0.000
```

Computed properties:
SG: No. 216
Calculated volume, A^3/atom: 22.9
DOS at the Fermi energy, states/eV/f.u.: 2.15
Energy of formation from the pure elements, meV per atom: -472.8